Density functional theory data (PBE) for a relaxed structure of K3Fe.

ΔE to the lowest computed polymorph = 81 meV per atom
size of the total moment = 3.04 μB/f.u.
final energy = -2.10 eV per atom
E_form = 834.9 meV/atom
N(E_F) = 4.4 states/eV/cell

Cell and atoms, written as CIF:
```
data_K3Fe
_chemical_formula_sum 'K3 Fe1'
_symmetry_space_group_name_H-M 'P m m 2'
_symmetry_Int_Tables_number 25
_cell_length_a 4.1082
_cell_length_b 5.1847
_cell_length_c 9.8718
_cell_angle_alpha 90.00
_cell_angle_beta 90.00
_cell_angle_gamma 90.00
loop_
_symmetry_equiv_pos_as_xyz
'x,y,z'
'-x,-y,z'
'-x,y,z'
'x,-y,z'
loop_
_atom_site_label
_atom_site_type_symbol
_atom_site_fract_x
_atom_site_fract_y
_atom_site_fract_z
K1 K 0.0000 0.0000 0.0000
K2 K 0.0000 0.5000 0.3004
K3 K 0.5000 0.5000 0.6715
Fe1 Fe 0.5000 0.0000 0.4092
```

***

Density functional theory data (PBE) for a relaxed structure of YCdIn.

size of the total moment = 0.00 μB/f.u.
final energy = -3.71 eV per atom
E_form = -337.4 meV/atom
N(E_F) = 4.0 states/eV/cell

Cell and atoms, written as CIF:
```
data_YCdIn
_chemical_formula_sum 'Y2 Cd2 In2'
_symmetry_space_group_name_H-M 'P 1 21/m 1'
_symmetry_Int_Tables_number 11
_cell_length_a 4.5842
_cell_length_b 4.7316
_cell_length_c 7.2894
_cell_angle_alpha 90.00
_cell_angle_beta 108.00
_cell_angle_gamma 90.00
loop_
_symmetry_equiv_pos_as_xyz
'x,y,z'
'-x,-y,-z'
'-x,y+1/2,-z'
'x,-y+1/2,z'
loop_
_atom_site_label
_atom_site_type_symbol
_atom_site_fract_x
_atom_site_fract_y
_atom_site_fract_z
Y1 Y 0.0923 0.2500 0.1826
Cd1 Cd 0.2513 0.7500 0.5020
In1 In 0.4082 0.2500 0.8167
```

***

Density functional theory data (PBE) for a relaxed structure of Y2Al3Ni.

size of the total moment = 0.00 μB/f.u.
final energy = -5.12 eV per atom
E_form = -132.3 meV/atom
N(E_F) = 25.9 states/eV/cell

Cell and atoms, written as CIF:
```
data_Y2Al3Ni
_chemical_formula_sum 'Y12 Al18 Ni6'
_symmetry_space_group_name_H-M 'C m m m'
_symmetry_Int_Tables_number 65
_symmetry_space_group_name_Hall '-C 2 2'
_cell_length_a 7.8917
_cell_length_b 29.8818
_cell_length_c 3.2835
_cell_angle_alpha 90.00
_cell_angle_beta 90.00
_cell_angle_gamma 90.00
loop_
_atom_site_label
_atom_site_type_symbol
_atom_site_fract_x
_atom_site_fract_y
_atom_site_fract_z
Y1 Y 0.0000 0.1714 0.0000
Y2 Y 0.2320 0.4142 0.0000
Al1 Al 0.0000 0.5000 0.0000
Al2 Al 0.1669 0.3236 0.5000
Al3 Al 0.2149 0.0000 0.5000
Al4 Al 0.2500 0.2500 0.0000
Ni1 Ni 0.0000 0.0000 0.0000
Ni2 Ni 0.0000 0.2498 0.5000
```

***

Density functional theory data (PBE) for a relaxed structure of Pt2Br2F.

ΔE to the lowest computed polymorph = 0 meV per atom
size of the total moment = 0.00 μB/f.u.
final energy = -3.22 eV per atom
N(E_F) = 27.0 states/eV/cell
formation energy from raw total energies = 241 meV per atom

Cell and atoms, written as CIF:
```
data_Pt2Br2F
_chemical_formula_sum 'Pt4 Br4 F2'
_symmetry_space_group_name_H-M 'I 4/m m m'
_symmetry_Int_Tables_number 139
_symmetry_space_group_name_Hall '-I 4 2'
_cell_length_a 3.8149
_cell_length_b 3.8149
_cell_length_c 13.8164
_cell_angle_alpha 90.00
_cell_angle_beta 90.00
_cell_angle_gamma 90.00
loop_
_atom_site_label
_atom_site_type_symbol
_atom_site_fract_x
_atom_site_fract_y
_atom_site_fract_z
Pt1 Pt 0.0000 0.5000 0.2500
Br1 Br 0.0000 0.0000 0.1118
F1 F 0.0000 0.0000 0.5000
```